DFT (PBE with a Hubbard U) results for InBiWO6 after structural relaxation.

```
InBiWO6
1.0
5.480 0.000 0.000
-2.740 4.746 0.000
0.000 0.000 9.839
In Bi W O
2 2 2 12
Direct
0.333 0.667 0.250
0.667 0.333 0.750
0.000 0.000 0.000
0.000 0.000 0.500
0.333 0.667 0.750
0.667 0.333 0.250
0.031 0.377 0.638
0.031 0.654 0.862
0.346 0.377 0.862
0.346 0.969 0.638
0.377 0.031 0.138
0.377 0.346 0.362
0.623 0.654 0.638
0.623 0.969 0.862
0.654 0.031 0.362
0.654 0.623 0.138
0.969 0.346 0.138
0.969 0.623 0.362
```

- magnetization (μB per formula unit) = 0.00
- final energy (Ha/atom) = -0.239
- volume (Å³ per cell) = 255.90
- space group = P-31c (163)
- crystal system = trigonal
- density of states at the Fermi level (states/eV/f.u.) = 0.00